Hf2TiIrN: optimized geometry, PBE-GGA.

The raw formation energy comes out at -1.08 eV per atom. Its symmetry is P4/mmm, No. 123.

```
Hf2TiIrN
1.0
4.383 0.000 0.000
0.000 4.383 0.000
0.000 0.000 4.064
Hf Ir N Ti
2 1 1 1
direct
0.000 0.500 0.000
0.500 0.000 0.000
0.500 0.500 0.500
0.000 0.000 0.000
0.000 0.000 0.500
```